ZrNiRh2Au | Alexandria | GGA-PBE | optimized geometry; E_tot = -5.504 eV/atom; total magnetic moment = 0.0 Bohr magnetons per cell; V = 103.6 Å³ per cell
1.0
4.763 0.000 0.000
0.000 4.763 0.000
0.000 0.000 4.567
Zr Ni Rh Au
1 1 2 1
direct
0.000 0.000 0.000 Zr
0.000 0.000 0.500 Ni
0.000 0.500 0.000 Rh
0.500 0.000 0.000 Rh
0.500 0.500 0.500 Au